Entry from OQMD: a geometry-optimized HoMgNO structure (GGA-PBE).

a b c (Å): 3.867 4.790 6.115
angles (deg): 90.00 90.00 90.00
Sites, in units of the cell vectors:
Mg  0.500  0.465  0.827
Ho  0.000  0.946  0.688
O  0.500  0.906  0.851
N  0.000  0.436  0.682
Ho  0.000  0.446  0.312
Mg  0.500  0.965  0.173
O  0.500  0.406  0.149
N  0.000  0.936  0.318

Output
- Calculated volume: 14.160 A^3/atom
- Final energy: -6.95 eV per atom
- ΔE to the lowest computed polymorph: 25 meV per atom

***

Entry from OQMD: a geometry-optimized Li2YCd2 structure (GGA-PBE).

a b c (Å): 4.091 4.091 6.992
angles (deg): 107.01 107.01 90.00
Sites, in units of the cell vectors:
Cd  0.612  0.612  0.223
Cd  0.388  0.388  0.777
Li  0.250  0.750  0.500
Y  0.000  0.000  0.000
Li  0.750  0.250  0.500

Output
- Calculated volume: 21.308 A^3/atom
- Final energy: -2.58 eV per atom

***

Entry from OQMD: a geometry-optimized ZrTe2S structure (GGA-PBE).

a b c (Å): 6.022 3.763 10.462
angles (deg): 90.00 103.64 90.00
Sites, in units of the cell vectors:
Te  0.596  0.750  0.832
Te  0.947  0.250  0.197
Te  0.053  0.750  0.803
S  0.279  0.250  0.537
Zr  0.720  0.250  0.631
S  0.721  0.750  0.463
Zr  0.280  0.750  0.369
Te  0.404  0.250  0.168

Output
- Calculated volume: 28.796 A^3/atom
- Final energy: -5.61 eV per atom

***

Entry from OQMD: a geometry-optimized Gd2S structure (GGA-PBE).

a b c (Å): 6.104 6.104 6.104
angles (deg): 60.00 60.00 60.00
Sites, in units of the cell vectors:
S  0.250  0.250  0.250
Gd  0.625  0.625  0.625
S  0.000  0.000  0.000
Gd  0.625  0.625  0.125
Gd  0.125  0.625  0.625
Gd  0.625  0.125  0.625

Output
- Calculated volume: 26.797 A^3/atom
- Final energy: -4.34 eV per atom